The following is a DFT calculation (PBE) of a relaxed structure of SiH2Rh2.

The value obtained for the density of states at the Fermi level is 3.73 states/eV/cell. The calculation puts the electronic total energy at -28.39 eV per formula unit.

The structure belongs to space group I4/mmm (No. 139); the cell edges are 2.959, 2.959 and 10.600 Å and the angles 90.00°, 90.00° and 90.00°. The inequivalent atoms are Si at (0.000, 0.000, 0.000), H at (0.000, 0.500, 0.250) and Rh at (0.000, 0.000, 0.367).